Entry from Alexandria: a geometry-optimized RbSnRh3 structure (PBE-GGA).

Formation enthalpy at 0 K, meV per atom: 793
V, Å³ per cell: 127.3
VASP energy, eV per atom: -4.612
M_tot, μB/cell: 1.3
N(E_F), states/eV/atom: 1.232

Lattice parameters (Å, degrees): 5.0304 5.0304 5.0304 90.00 90.00 90.00
Positions (direct):
Rb  0.0000  0.0000  0.0000
Sn  0.5000  0.5000  0.5000
Rh  0.0000  0.5000  0.5000
Rh  0.5000  0.0000  0.5000
Rh  0.5000  0.5000  0.0000

Entry from Alexandria: a geometry-optimized RbSnRh3 structure (PBE-GGA).

Formation enthalpy at 0 K, meV per atom: 1968
V, Å³ per cell: 117.2
VASP energy, eV per atom: -3.437
M_tot, μB/cell: 1.2
N(E_F), states/eV/atom: 1.249

Lattice parameters (Å, degrees): 4.8931 4.8931 4.8931 90.00 90.00 90.00
Positions (direct):
Rb  0.0000  0.0000  0.0000
Sn  0.5000  0.5000  0.5000
Rh  0.0000  0.0000  0.5000
Rh  0.0000  0.5000  0.0000
Rh  0.5000  0.0000  0.0000

Entry from Alexandria: a geometry-optimized RbSn2Rh structure (PBE-GGA).

Formation enthalpy at 0 K, meV per atom: -94
V, Å³ per cell: 321.8
VASP energy, eV per atom: -4.175
M_tot, μB/cell: 0.0
N(E_F), states/eV/atom: 0.218

Lattice parameters (Å, degrees): 8.9075 8.9075 8.9075 137.25 137.25 62.05
Positions (direct):
Rb  0.3750  0.6250  0.7500
Rb  0.6250  0.3750  0.2500
Sn  0.0000  0.0000  0.0000
Sn  0.0000  0.0000  0.5000
Sn  0.0000  0.5000  0.0000
Sn  0.5000  0.0000  0.5000
Rh  0.1250  0.8750  0.2500
Rh  0.8750  0.1250  0.7500

Entry from Alexandria: a geometry-optimized RbSn2Rh2 structure (PBE-GGA).

Formation enthalpy at 0 K, meV per atom: -151
V, Å³ per cell: 210.4
VASP energy, eV per atom: -4.886
M_tot, μB/cell: 0.0
N(E_F), states/eV/atom: 0.390

Lattice parameters (Å, degrees): 8.3153 8.3153 3.0422 90.00 90.00 90.00
Positions (direct):
Rb  0.0000  0.0000  0.0000
Rb  0.5000  0.5000  0.0000
Sn  0.1440  0.3560  0.5000
Sn  0.3560  0.8560  0.5000
Sn  0.6440  0.1440  0.5000
Sn  0.8560  0.6440  0.5000
Rh  0.1416  0.6416  0.0000
Rh  0.3584  0.1416  0.0000
Rh  0.6416  0.8584  0.0000
Rh  0.8584  0.3584  0.0000

Entry from Alexandria: a geometry-optimized Rb3SnRh structure (PBE-GGA).

Formation enthalpy at 0 K, meV per atom: 648
V, Å³ per cell: 223.2
VASP energy, eV per atom: -2.203
M_tot, μB/cell: 2.2
N(E_F), states/eV/atom: 0.586

Lattice parameters (Å, degrees): 6.0663 6.0663 6.0663 90.00 90.00 90.00
Positions (direct):
Rb  0.0000  0.0000  0.5000
Rb  0.0000  0.5000  0.0000
Rb  0.5000  0.0000  0.0000
Sn  0.5000  0.5000  0.5000
Rh  0.0000  0.0000  0.0000

Entry from Alexandria: a geometry-optimized RbSnRh2 structure (PBE-GGA).

Formation enthalpy at 0 K, meV per atom: 391
V, Å³ per cell: 231.4
VASP energy, eV per atom: -4.528
M_tot, μB/cell: 0.0
N(E_F), states/eV/atom: 1.011

Lattice parameters (Å, degrees): 9.6429 9.6429 9.6429 149.42 149.42 43.80
Positions (direct):
Rb  0.0000  0.0000  0.0000
Rb  0.7500  0.2500  0.5000
Sn  0.2500  0.7500  0.5000
Sn  0.5000  0.5000  0.0000
Rh  0.3034  0.6250  0.1784
Rh  0.3750  0.5534  0.6784
Rh  0.4466  0.1250  0.8216
Rh  0.8750  0.6966  0.3216

N(E_F) of number 1 (RbSnRh3)?
1.232 states/eV/atom

N(E_F) of number 3 (RbSn2Rh)?
0.218 states/eV/atom